Material: Ta2PtBr
Method: DFT, GGA-PBE
State: relaxed

POSCAR file:
```
Ta2PtBr
1.0
-0.233 -2.172 2.155
0.292 -2.167 -2.153
7.192 0.099 0.876
Br Pt Ta
1 1 2
direct
0.500 0.500 0.250
0.500 0.500 0.750
0.000 0.000 0.000
0.000 0.000 0.500
```

Values from the calculation:
Distance to the lowest polymorph of the same formula, eV per formula unit: 0.64
DOS(E_F), states/eV/cell: 2.28
Space group: P4/mmm
ΔE_f (raw), eV/atom: 0.077
Uncorrected energy, eV/atom: -7.7782